Run P
{"formula": "GaCo4", "functional": "GGA-PBE", "state": "optimized geometry", "magnetic_moment_mub_per_cell": 22.00, "volume_a3_per_atom": 11.4, "cell": [[4.1085, 0.6157, 1.3738], [1.5074, 6.4773, -0.4973], [2.9299, -0.3682, 9.9772]], "species": ["Co", "Co", "Co", "Co", "Co", "Co", "Co", "Co", "Co", "Co", "Ga", "Co", "Co", "Co", "Co", "Co", "Ga", "Ga", "Co", "Ga"], "frac_coords": [[0.7814, 0.9455, 0.6244], [0.5719, 0.3554, 0.6219], [0.2791, 0.9526, 0.1246], [0.6274, 0.2508, 0.3756], [0.0375, 0.4431, 0.3785], [0.8808, 0.7543, 0.1217], [0.3726, 0.7492, 0.6244], [0.9625, 0.5569, 0.6215], [0.2186, 0.0545, 0.3756], [0.4281, 0.6446, 0.3781], [0.1565, 0.1601, 0.6318], [0.5164, 0.4523, 0.8761], [0.3174, 0.8589, 0.8738], [0.4836, 0.5477, 0.1239], [0.7209, 0.0474, 0.8754], [0.6826, 0.1411, 0.1262], [0.9210, 0.6496, 0.8735], [0.0790, 0.3504, 0.1265], [0.1192, 0.2457, 0.8783], [0.8435, 0.8399, 0.3682]]}

***

Run Q
{"formula": "GaCo4", "functional": "GGA-PBE", "state": "optimized geometry", "magnetic_moment_mub_per_cell": 6.29, "volume_a3_per_atom": 15.5, "cell": [[-3.3150, 2.6834, -0.1606], [-2.5160, -3.1869, -1.3150], [-0.9467, -0.9267, 4.0572]], "species": ["Co", "Co", "Ga", "Co", "Co"], "frac_coords": [[0.0000, 0.0000, 0.0000], [0.5000, 0.0000, 0.5000], [0.5000, 0.5000, 0.5000], [0.5000, 0.5000, 0.0000], [0.0000, 0.5000, 0.5000]]}

***

Verdict on stability: run P comes out on top.

***

Run P
{"formula": "GaCo5", "functional": "GGA-PBE", "state": "optimized geometry", "magnetic_moment_mub_per_cell": 7.08, "volume_a3_per_atom": 11.3, "cell": [[-0.3046, -3.0638, -1.7795], [3.3612, 0.3629, -1.2003], [0.1220, -2.8277, 4.8477]], "species": ["Co", "Co", "Co", "Ga", "Co", "Co"], "frac_coords": [[0.5000, 0.5000, 0.0000], [0.5000, 0.8289, 0.6578], [0.5000, 0.1711, 0.3422], [0.0000, 0.0000, 0.0000], [0.0000, 0.6730, 0.3459], [0.0000, 0.3270, 0.6541]]}

***

Run Q
{"formula": "GaCo5", "functional": "GGA-PBE", "state": "optimized geometry", "magnetic_moment_mub_per_cell": 7.03, "volume_a3_per_atom": 11.3, "cell": [[3.5605, 0.0000, 0.0000], [-1.7803, 3.9582, 0.1462], [0.0000, -1.7327, 4.7367]], "species": ["Co", "Co", "Ga", "Co", "Co", "Co"], "frac_coords": [[0.6453, 0.2906, 0.2879], [0.3078, 0.6155, 0.1173], [0.9722, 0.9445, 0.9444], [0.2991, 0.5982, 0.6011], [0.6367, 0.2734, 0.7716], [0.9722, 0.9444, 0.4444]]}

***

Verdict on stability: run Q comes out on top.

***

Run P
{"formula": "GaCo2Ge2", "functional": "GGA-PBE", "state": "optimized geometry", "magnetic_moment_mub_per_cell": 0.00, "volume_a3_per_atom": 13.6, "cell": [[-3.7489, -4.9930, -3.2519], [1.4405, -4.4875, 5.2294], [-2.2618, 0.8291, 1.3345]], "species": ["Co", "Co", "Ga", "Ga", "Ge", "Ge", "Co", "Ge", "Ge", "Co"], "frac_coords": [[0.8594, 0.6406, 0.0000], [0.6406, 0.1406, 0.0000], [0.0000, 0.0000, 0.0000], [0.5000, 0.5000, 0.0000], [0.3459, 0.1541, 0.5000], [0.6541, 0.8459, 0.5000], [0.1406, 0.3594, 0.0000], [0.8459, 0.3459, 0.5000], [0.1541, 0.6541, 0.5000], [0.3594, 0.8594, 0.0000]]}

***

Run Q
{"formula": "GaCo2Ge2", "functional": "GGA-PBE", "state": "optimized geometry", "magnetic_moment_mub_per_cell": 0.00, "volume_a3_per_atom": 14.5, "cell": [[-0.3160, -3.4564, 0.9003], [-0.7409, -0.8207, -3.4110], [4.9673, -2.9040, -2.2649]], "species": ["Co", "Co", "Ge", "Ga", "Ge"], "frac_coords": [[0.3904, 0.3904, 0.2192], [0.6096, 0.6096, 0.7808], [0.2500, 0.7500, 0.5000], [0.0000, 0.0000, 0.0000], [0.7500, 0.2500, 0.5000]]}

***

Verdict on stability: run P comes out on top.